The following is a DFT calculation (PBE) of a relaxed Rb5SnBr8 crystal.

a b c (Å): 8.957 8.957 8.957
angles (deg): 110.70 110.70 107.04
Element x y z (fractional)
1 Rb 0.000 0.000 0.000
2 Rb 0.104 0.507 0.863
3 Rb 0.493 0.355 0.596
4 Rb 0.645 0.241 0.137
5 Rb 0.759 0.896 0.404
6 Sn 0.250 0.750 0.500
7 Br 0.034 0.268 0.407
8 Br 0.252 0.066 0.708
9 Br 0.358 0.544 0.292
10 Br 0.373 0.966 0.234
11 Br 0.456 0.748 0.814
12 Br 0.732 0.139 0.766
13 Br 0.861 0.627 0.593
14 Br 0.934 0.642 0.186

Values from the calculation:
**E_form (uncorrected)**: -1360 meV/atom

The following is a DFT calculation (PBE) of a relaxed Be2WCl crystal.

a b c (Å): 7.487 7.487 7.487
angles (deg): 22.38 22.38 22.38
Element x y z (fractional)
1 Be 0.247 0.247 0.247
2 Be 0.753 0.753 0.753
3 W 0.000 0.000 0.000
4 Cl 0.500 0.500 0.500

Values from the calculation:
**E_form (uncorrected)**: 296 meV/atom

The following is a DFT calculation (PBE) of a relaxed PaBe2SnO8 crystal.

a b c (Å): 5.295 5.295 6.272
angles (deg): 90.00 90.00 120.00
Element x y z (fractional)
1 Pa 0.000 0.000 0.000
2 Be 0.333 0.667 0.786
3 Be 0.667 0.333 0.214
4 Sn 0.000 0.000 0.500
5 O 0.133 0.325 0.731
6 O 0.193 0.867 0.731
7 O 0.325 0.193 0.269
8 O 0.333 0.667 0.048
9 O 0.667 0.333 0.952
10 O 0.675 0.807 0.731
11 O 0.807 0.133 0.269
12 O 0.867 0.675 0.269

Values from the calculation:
**E_form (uncorrected)**: -1818 meV/atom

The following is a DFT calculation (PBE) of a relaxed DyTm4Pd5 crystal.

a b c (Å): 3.447 3.447 17.625
angles (deg): 90.00 90.00 90.00
Element x y z (fractional)
1 Dy 0.000 0.000 0.000
2 Tm 0.000 0.000 0.202
3 Tm 0.000 0.000 0.401
4 Tm 0.000 0.000 0.599
5 Tm 0.000 0.000 0.798
6 Pd 0.500 0.500 0.104
7 Pd 0.500 0.500 0.301
8 Pd 0.500 0.500 0.500
9 Pd 0.500 0.500 0.699
10 Pd 0.500 0.500 0.896

Values from the calculation:
**Energy relative to the elements**: -922 meV per atom

The following is a DFT calculation (PBE) of a relaxed TcBiI2N crystal.

a b c (Å): 5.720 5.720 3.784
angles (deg): 90.00 90.00 90.00
Element x y z (fractional)
1 Tc 0.000 0.000 0.000
2 Bi 0.500 0.500 0.500
3 I 0.000 0.500 0.000
4 I 0.500 0.000 0.000
5 N 0.000 0.000 0.500

Values from the calculation:
**E_form (uncorrected)**: 415 meV/atom

The following is a DFT calculation (PBE) of a relaxed AcDy4Er5 crystal.

a b c (Å): 8.757 8.757 11.011
angles (deg): 90.61 90.61 23.52
Element x y z (fractional)
1 Ac 0.000 0.000 0.000
2 Dy 0.152 0.152 0.250
3 Dy 0.473 0.473 0.258
4 Dy 0.527 0.527 0.742
5 Dy 0.848 0.848 0.750
6 Er 0.000 0.000 0.500
7 Er 0.323 0.323 0.058
8 Er 0.327 0.327 0.453
9 Er 0.673 0.673 0.547
10 Er 0.677 0.677 0.942

Values from the calculation:
**Energy relative to the elements**: 221 meV per atom

The following is a DFT calculation (PBE) of a relaxed CdTc2Pt crystal.

a b c (Å): 4.828 4.828 5.100
angles (deg): 97.34 97.34 32.95
Element x y z (fractional)
1 Cd 0.000 0.000 0.000
2 Tc 0.513 0.513 0.490
3 Tc 0.757 0.757 0.301
4 Pt 0.248 0.248 0.770

Values from the calculation:
**Energy relative to the elements**: 155 meV per atom

The following is a DFT calculation (PBE) of a relaxed Pu3Ga5O12 crystal.

a b c (Å): 10.924 10.924 10.924
angles (deg): 109.47 109.47 109.47
Element x y z (fractional)
1 Pu 0.125 0.250 0.375
2 Pu 0.125 0.375 0.750
3 Pu 0.250 0.375 0.125
4 Pu 0.250 0.875 0.625
5 Pu 0.375 0.125 0.250
6 Pu 0.375 0.750 0.125
7 Pu 0.625 0.250 0.875
8 Pu 0.625 0.875 0.750
9 Pu 0.750 0.125 0.375
10 Pu 0.750 0.625 0.875
11 Pu 0.875 0.625 0.250
12 Pu 0.875 0.750 0.625
13 Ga 0.000 0.000 0.000
14 Ga 0.000 0.000 0.500
15 Ga 0.000 0.500 0.000
16 Ga 0.000 0.500 0.500
17 Ga 0.125 0.750 0.875
18 Ga 0.125 0.875 0.250
19 Ga 0.250 0.125 0.875
20 Ga 0.250 0.625 0.375
21 Ga 0.375 0.250 0.625
22 Ga 0.375 0.625 0.750
23 Ga 0.500 0.000 0.000
24 Ga 0.500 0.000 0.500
25 Ga 0.500 0.500 0.000
26 Ga 0.500 0.500 0.500
27 Ga 0.625 0.375 0.250
28 Ga 0.625 0.750 0.375
29 Ga 0.750 0.375 0.625
30 Ga 0.750 0.875 0.125
31 Ga 0.875 0.125 0.750
32 Ga 0.875 0.250 0.125
33 O 0.024 0.203 0.120
34 O 0.024 0.321 0.904
35 O 0.083 0.703 0.679
36 O 0.083 0.880 0.404
37 O 0.096 0.620 0.417
38 O 0.096 0.976 0.679
39 O 0.120 0.024 0.203
40 O 0.120 0.596 0.917
41 O 0.179 0.203 0.583
42 O 0.179 0.476 0.596
43 O 0.203 0.120 0.024
44 O 0.203 0.583 0.179
45 O 0.297 0.321 0.917
46 O 0.297 0.476 0.380
47 O 0.321 0.904 0.024
48 O 0.321 0.917 0.297
49 O 0.380 0.297 0.476
50 O 0.380 0.583 0.904
51 O 0.404 0.083 0.880
52 O 0.404 0.821 0.524
53 O 0.417 0.096 0.620
54 O 0.417 0.821 0.797
55 O 0.476 0.380 0.297
56 O 0.476 0.596 0.179
57 O 0.524 0.404 0.821
58 O 0.524 0.620 0.703
59 O 0.583 0.179 0.203
60 O 0.583 0.904 0.380
61 O 0.596 0.179 0.476
62 O 0.596 0.917 0.120
63 O 0.620 0.417 0.096
64 O 0.620 0.703 0.524
65 O 0.679 0.083 0.703
66 O 0.679 0.096 0.976
67 O 0.703 0.524 0.620
68 O 0.703 0.679 0.083
69 O 0.797 0.417 0.821
70 O 0.797 0.880 0.976
71 O 0.821 0.524 0.404
72 O 0.821 0.797 0.417
73 O 0.880 0.404 0.083
74 O 0.880 0.976 0.797
75 O 0.904 0.024 0.321
76 O 0.904 0.380 0.583
77 O 0.917 0.120 0.596
78 O 0.917 0.297 0.321
79 O 0.976 0.679 0.096
80 O 0.976 0.797 0.880

Values from the calculation:
**E_form (uncorrected)**: -2270 meV/atom

The following is a DFT calculation (PBE) of a relaxed LaHfCu3 crystal.

a b c (Å): 4.885 4.885 4.885
angles (deg): 90.00 90.00 90.00
Element x y z (fractional)
1 La 0.000 0.000 0.000
2 Hf 0.500 0.500 0.500
3 Cu 0.000 0.500 0.500
4 Cu 0.500 0.000 0.500
5 Cu 0.500 0.500 0.000

Values from the calculation:
**Energy relative to the elements**: 480 meV per atom

The following is a DFT calculation (PBE) of a relaxed Hf2ZnBr crystal.

a b c (Å): 4.791 4.791 4.791
angles (deg): 60.00 60.00 60.00
Element x y z (fractional)
1 Hf 0.250 0.250 0.250
2 Hf 0.750 0.750 0.750
3 Zn 0.000 0.000 0.000
4 Br 0.500 0.500 0.500

Values from the calculation:
**E_form (uncorrected)**: 113 meV/atom

The following is a DFT calculation (PBE) of a relaxed In2CoSb crystal.

a b c (Å): 6.228 6.228 3.528
angles (deg): 106.18 106.18 125.08
Element x y z (fractional)
1 In 0.000 0.500 0.000
2 In 0.500 0.000 0.000
3 Co 0.000 0.000 0.500
4 Sb 0.500 0.500 0.500

Values from the calculation:
**E_form (uncorrected)**: 420 meV/atom

The following is a DFT calculation (PBE) of a relaxed ScGaN crystal.

a b c (Å): 7.081 7.081 7.081
angles (deg): 32.49 32.49 32.49
Element x y z (fractional)
1 Sc 0.113 0.113 0.113
2 Sc 0.887 0.887 0.887
3 Ga 0.315 0.315 0.315
4 Ga 0.685 0.685 0.685
5 N 0.216 0.216 0.216
6 N 0.784 0.784 0.784

Values from the calculation:
**E_form (uncorrected)**: -949 meV/atom

The following is a DFT calculation (PBE) of a relaxed Pm2NCl crystal.

a b c (Å): 7.261 7.261 7.261
angles (deg): 29.30 29.30 29.30
Element x y z (fractional)
1 Pm 0.229 0.229 0.229
2 Pm 0.771 0.771 0.771
3 N 0.500 0.500 0.500
4 Cl 0.000 0.000 0.000

Values from the calculation:
**E_form (uncorrected)**: -1558 meV/atom

The following is a DFT calculation (PBE) of a relaxed NiS crystal.

a b c (Å): 8.440 8.440 3.632
angles (deg): 90.00 90.00 120.00
Element x y z (fractional)
1 Ni 0.047 0.624 0.250
2 Ni 0.376 0.423 0.250
3 Ni 0.423 0.047 0.750
4 Ni 0.577 0.953 0.250
5 Ni 0.624 0.577 0.750
6 Ni 0.953 0.376 0.750
7 S 0.113 0.405 0.250
8 S 0.292 0.887 0.250
9 S 0.405 0.292 0.750
10 S 0.595 0.708 0.250
11 S 0.708 0.113 0.750
12 S 0.887 0.595 0.750

Values from the calculation:
**E_form (uncorrected)**: -384 meV/atom

The following is a DFT calculation (PBE) of a relaxed CsGe2Te3 crystal.

a b c (Å): 4.071 13.091 8.343
angles (deg): 90.00 90.00 90.00
Element x y z (fractional)
1 Cs 0.000 0.133 0.000
2 Cs 0.000 0.867 0.500
3 Ge 0.000 0.250 0.490
4 Ge 0.000 0.750 0.990
5 Ge 0.500 0.497 0.055
6 Ge 0.500 0.503 0.555
7 Te 0.000 0.402 0.721
8 Te 0.000 0.598 0.221
9 Te 0.500 0.118 0.601
10 Te 0.500 0.328 0.260
11 Te 0.500 0.672 0.760
12 Te 0.500 0.882 0.101

Values from the calculation:
**E_form (uncorrected)**: -312 meV/atom

The following is a DFT calculation (PBE) of a relaxed TlNiAs2Br crystal.

a b c (Å): 5.329 5.329 5.755
angles (deg): 90.00 90.00 90.00
Element x y z (fractional)
1 Tl 0.000 0.000 0.000
2 Ni 0.500 0.500 0.500
3 As 0.000 0.500 0.000
4 As 0.500 0.000 0.000
5 Br 0.000 0.000 0.500

Values from the calculation:
**E_form (uncorrected)**: 1312 meV/atom

The following is a DFT calculation (PBE) of a relaxed La2NdSm7 crystal.

a b c (Å): 5.179 7.311 9.708
angles (deg): 78.83 74.55 89.93
Element x y z (fractional)
1 La 0.199 0.100 0.102
2 La 0.801 0.900 0.898
3 Nd 0.000 0.500 0.500
4 Sm 0.000 0.000 0.500
5 Sm 0.199 0.599 0.101
6 Sm 0.400 0.699 0.700
7 Sm 0.401 0.201 0.697
8 Sm 0.599 0.799 0.303
9 Sm 0.600 0.301 0.300
10 Sm 0.801 0.401 0.899

Values from the calculation:
**Energy relative to the elements**: 18 meV per atom

The following is a DFT calculation (PBE) of a relaxed NdCu10Ir2 crystal.

a b c (Å): 8.621 6.693 6.491
angles (deg): 81.66 50.19 48.15
Element x y z (fractional)
1 Nd 0.000 0.000 0.000
2 Cu 0.000 0.500 0.000
3 Cu 0.001 0.354 0.646
4 Cu 0.269 0.491 0.509
5 Cu 0.354 0.001 0.999
6 Cu 0.491 0.269 0.731
7 Cu 0.500 0.000 0.500
8 Cu 0.509 0.731 0.269
9 Cu 0.646 0.999 0.001
10 Cu 0.731 0.509 0.491
11 Cu 0.999 0.646 0.354
12 Ir 0.000 0.000 0.500
13 Ir 0.500 0.500 0.000

Values from the calculation:
**Energy relative to the elements**: -54 meV per atom

The following is a DFT calculation (PBE) of a relaxed BaAl2O4 crystal.

a b c (Å): 5.583 5.839 7.939
angles (deg): 111.34 100.86 99.90
Element x y z (fractional)
1 Ba 0.000 0.000 0.000
2 Ba 0.220 0.687 0.473
3 Al 0.528 0.324 0.758
4 Al 0.572 0.682 0.183
5 Al 0.586 0.239 0.307
6 Al 0.865 0.127 0.588
7 O 0.194 0.229 0.695
8 O 0.393 0.915 0.213
9 O 0.410 0.409 0.210
10 O 0.652 0.597 0.968
11 O 0.665 0.353 0.566
12 O 0.679 0.072 0.742
13 O 0.819 0.837 0.397
14 O 0.887 0.267 0.279

Values from the calculation:
**E_form (uncorrected)**: -2903 meV/atom

The following is a DFT calculation (PBE) of a relaxed Ca3AlO4 crystal.

a b c (Å): 7.386 6.491 5.263
angles (deg): 90.00 90.00 90.00
Element x y z (fractional)
1 Ca 0.000 0.165 0.000
2 Ca 0.246 0.663 0.002
3 Ca 0.254 0.337 0.502
4 Ca 0.500 0.835 0.500
5 Ca 0.746 0.337 0.502
6 Ca 0.754 0.663 0.002
7 Al 0.000 0.839 0.470
8 Al 0.500 0.161 0.970
9 O 0.000 0.111 0.557
10 O 0.000 0.842 0.128
11 O 0.205 0.706 0.559
12 O 0.295 0.294 0.059
13 O 0.500 0.158 0.628
14 O 0.500 0.889 0.057
15 O 0.705 0.294 0.059
16 O 0.795 0.706 0.559

Values from the calculation:
**E_form (uncorrected)**: -2714 meV/atom